(1)
DFT (PBE) results for a relaxed structure of AcThZn2.

abc: 3.8101 3.8101 9.5892
angles: 78.54 78.54 60.00
Closest atoms and distances in Å follow each position.
Fractional coordinates of all 4 atoms:
Zn1 0.2539 0.2539 0.2383  3 Th 3.13, 3 Ac 3.29
Zn2 0.7461 0.7461 0.7617  3 Th 3.13, 3 Ac 3.29
Ac1 0.5000 0.5000 0.5000  6 Zn 3.29
Th1 0.0000 0.0000 0.0000  6 Zn 3.13

## Properties
The space group is R-3m. The formation energy from the elements comes out at 0.01 eV/atom. The value obtained for the density of states at the Fermi level is 4.217 states/eV/cell.

(2)
DFT (PBE) results for a relaxed structure of Ac5ThZn6.

abc: 5.4636 7.7319 9.4625
angles: 65.88 73.15 90.00
Closest atoms and distances in Å follow each position.
Fractional coordinates of all 12 atoms:
Zn1 0.8402 0.0788 0.3202  1 Th 3.21, 7 Ac 3.30-3.44
Zn2 0.5000 0.2301 0.0000  2 Th 3.26, 6 Ac 3.30-3.44, 1 Zn 3.56
Zn3 0.5000 0.7699 0.0000  2 Th 3.26, 6 Ac 3.30-3.44, 1 Zn 3.56
Zn4 0.1599 0.3989 0.6796  1 Th 3.21, 7 Ac 3.30-3.44
Zn5 0.8401 0.6011 0.3204  1 Th 3.21, 7 Ac 3.30-3.44
Zn6 0.1598 0.9212 0.6798  1 Th 3.21, 7 Ac 3.30-3.44
Ac1 0.0000 0.5000 0.0000  8 Zn 3.31-3.44
Ac2 0.3306 0.8303 0.3394  8 Zn 3.30-3.44
Ac3 0.6694 0.1697 0.6606  8 Zn 3.30-3.44
Ac4 0.6646 0.6644 0.6711  8 Zn 3.40-3.42
Ac5 0.3354 0.3356 0.3289  8 Zn 3.40-3.42
Th1 0.0000 0.0000 0.0000  8 Zn 3.21-3.26

## Properties
The space group is C2/m. The formation energy from the elements comes out at -0.21 eV/atom. The value obtained for the density of states at the Fermi level is 12.007 states/eV/cell.

(3)
DFT (PBE) results for a relaxed structure of AcTh2Zr.

abc: 3.6207 3.6207 9.8392
angles: 90.00 90.00 90.00
Closest atoms and distances in Å follow each position.
Fractional coordinates of all 4 atoms:
Th1 0.0000 0.0000 0.2234  4 Zr 3.37, 4 Th 3.62, 4 Ac 3.74
Th2 0.0000 0.0000 0.7766  4 Zr 3.37, 4 Th 3.62, 4 Ac 3.74
Zr1 0.5000 0.5000 0.0000  8 Th 3.37, 4 Zr 3.62
Ac1 0.5000 0.5000 0.5000  4 Ac 3.62, 8 Th 3.74

## Properties
Its energy above the lowest structure with this stoichiometry is 0.000 eV/atom. The space group is P4/mmm. The formation energy from the elements comes out at 0.16 eV/atom. The value obtained for the density of states at the Fermi level is 7.559 states/eV/cell.

(4)
DFT (PBE) results for a relaxed structure of AcTh2Zr.

abc: 3.5081 3.5081 12.5393
angles: 81.96 81.96 60.00
Closest atoms and distances in Å follow each position.
Fractional coordinates of all 4 atoms:
Zr1 0.5000 0.5000 0.5000  6 Th 3.39, 6 Zr 3.51
Th1 0.0936 0.0936 0.7192  3 Zr 3.39, 1 Ac 3.47, 6 Th 3.51
Th2 0.9064 0.9064 0.2808  3 Zr 3.39, 1 Ac 3.47, 6 Th 3.51
Ac1 0.0000 0.0000 0.0000  2 Th 3.47, 6 Ac 3.51

## Properties
Its energy above the lowest structure with this stoichiometry is 0.152 eV/atom. The space group is R-3m. The formation energy from the elements comes out at 0.31 eV/atom. The value obtained for the density of states at the Fermi level is 6.063 states/eV/cell.

(5)
DFT (PBE) results for a relaxed structure of Ac2ThZr.

abc: 3.6042 3.6042 12.7270
angles: 81.86 81.86 60.00
Closest atoms and distances in Å follow each position.
Fractional coordinates of all 4 atoms:
Ac1 0.0856 0.0856 0.7432  1 Zr 3.22, 6 Ac 3.60
Ac2 0.9144 0.9144 0.2568  1 Zr 3.22, 6 Ac 3.60
Zr1 0.0000 0.0000 0.0000  2 Ac 3.22, 6 Zr 3.60
Th1 0.5000 0.5000 0.5000  6 Th 3.60, 6 Ac 3.70

## Properties
The space group is R-3m. The formation energy from the elements comes out at 0.50 eV/atom. The value obtained for the density of states at the Fermi level is 6.587 states/eV/cell.

(6)
DFT (PBE) results for a relaxed structure of AcThZr.

abc: 4.8591 4.8591 8.8330
angles: 90.00 90.00 90.00
Closest atoms and distances in Å follow each position.
Fractional coordinates of all 6 atoms:
Zr1 0.0000 0.5000 0.7693  4 Th 3.17
Zr2 0.5000 0.0000 0.2307  4 Th 3.17
Th1 0.0000 0.0000 0.0000  4 Zr 3.17, 4 Th 3.44
Th2 0.5000 0.5000 0.0000  4 Zr 3.17, 4 Th 3.44
Ac1 0.0000 0.5000 0.3524  5 Zr 3.60-3.68, 4 Th 3.95
Ac2 0.5000 0.0000 0.6476  5 Zr 3.60-3.68, 4 Th 3.95

## Properties
Its energy above the lowest structure with this stoichiometry is 0.068 eV/atom. The space group is P4/nmm. The formation energy from the elements comes out at 0.27 eV/atom. The value obtained for the density of states at the Fermi level is 8.730 states/eV/cell.

(7)
DFT (PBE) results for a relaxed structure of AcThZr.

abc: 3.5800 3.5800 7.9043
angles: 103.09 103.09 90.00
Closest atoms and distances in Å follow each position.
Fractional coordinates of all 3 atoms:
Zr1 0.3258 0.3258 0.6515  4 Th 3.36, 4 Zr 3.58, 4 Ac 3.59
Th1 0.6783 0.6783 0.3566  4 Zr 3.36, 4 Th 3.58, 4 Ac 3.72
Ac1 0.9960 0.9960 0.9919  4 Ac 3.58, 4 Zr 3.59, 4 Th 3.72

## Properties
Its energy above the lowest structure with this stoichiometry is 0.000 eV/atom. The space group is I4mm. The formation energy from the elements comes out at 0.21 eV/atom. The value obtained for the density of states at the Fermi level is 4.029 states/eV/cell.

(8)
DFT (PBE) results for a relaxed structure of AcThZr2.

abc: 4.0301 4.0301 7.5130
angles: 90.00 90.00 90.00
Closest atoms and distances in Å follow each position.
Fractional coordinates of all 4 atoms:
Ac1 0.5000 0.5000 0.5000  8 Zr 3.63, 2 Th 3.76, 4 Ac 4.03
Th1 0.5000 0.5000 0.0000  8 Zr 3.22
Zr1 0.0000 0.0000 0.1996  1 Zr 3.00, 4 Th 3.22
Zr2 0.0000 0.0000 0.8004  1 Zr 3.00, 4 Th 3.22

## Properties
The space group is P4/mmm. The formation energy from the elements comes out at 0.16 eV/atom. The value obtained for the density of states at the Fermi level is 4.682 states/eV/cell.